# KAsRh2 (PBE, optimized geometry)
# magnetic moment	0.0	μB/cell
# DFT total energy	-38.6	eV for the cell shown
# energy of formation from the pure elements	28.1	kJ per mole of atoms
# mass density	7.1	g/cm³
data_KAsRh2
_chemical_formula_sum 'K2 As2 Rh4'
_cell_length_a 2.883
_cell_length_b 5.104
_cell_length_c 10.210
_cell_angle_alpha 90.00
_cell_angle_beta 90.00
_cell_angle_gamma 90.00
_space_group_name_H-M_alt 'I m m 2'
_space_group_IT_number 44
loop_
_space_group_symop_operation_xyz
'x,y,z'
'-x,-y,z'
'-x,y,z'
'x,-y,z'
'x+1/2,y+1/2,z+1/2'
'-x+1/2,-y+1/2,z+1/2'
'-x+1/2,y+1/2,z+1/2'
'x+1/2,-y+1/2,z+1/2'
loop_
_atom_site_label
_atom_site_type_symbol
_atom_site_fract_x
_atom_site_fract_y
_atom_site_fract_z
_atom_site_occupancy
K1 K 0.000 0.000 0.000 1
As1 As 0.000 0.500 0.218 1
Rh1 Rh 0.000 0.000 0.524 1
Rh2 Rh 0.000 0.500 0.795 1